Material: Ca2Pm2Tl5
Method: DFT, PBE
State: relaxed

Lattice parameters (Å, degrees): 9.210 9.210 8.328 90.00 90.00 54.31
Positions (direct):
Ca (0.199, 0.199, 0.000)
Ca (0.301, 0.301, 0.500)
Ca (0.699, 0.699, 0.500)
Ca (0.801, 0.801, 0.000)
Pm (0.157, 0.843, 0.658)
Pm (0.343, 0.657, 0.158)
Pm (0.657, 0.343, 0.842)
Pm (0.843, 0.157, 0.342)
Tl (0.000, 0.000, 0.000)
Tl (0.011, 0.721, 0.352)
Tl (0.221, 0.511, 0.852)
Tl (0.279, 0.989, 0.352)
Tl (0.489, 0.779, 0.852)
Tl (0.500, 0.500, 0.500)
Tl (0.511, 0.221, 0.148)
Tl (0.721, 0.011, 0.648)
Tl (0.779, 0.489, 0.148)
Tl (0.989, 0.279, 0.648)

Output
* DFT total energy: -27.4 eV/f.u.

---

Material: TlAgGeHSe
Method: DFT, PBE
State: relaxed

Lattice parameters (Å, degrees): 4.207 4.542 7.357 80.11 82.60 64.63
Positions (direct):
Tl (0.000, 0.000, 0.000)
Ag (0.304, 0.267, 0.264)
Ge (0.628, 0.623, 0.303)
H (0.785, 0.778, 0.659)
Se (0.565, 0.597, 0.649)

Output
* DFT total energy: -16.2 eV/f.u.
* relative energy among the computed polymorphs: 94 meV per atom

---

Material: SrNiTe
Method: DFT, PBE
State: relaxed

Lattice parameters (Å, degrees): 5.451 5.451 5.451 133.20 133.20 68.33
Positions (direct):
Sr (0.000, 0.000, 0.000)
Ni (0.380, 0.380, 0.000)
Te (0.648, 0.648, 0.000)

Output
* energy relative to the elements, uncorrected: -0.32 eV/atom
* DFT total energy: -11.6 eV/f.u.

---

Material: SrNbP2Os
Method: DFT, PBE
State: relaxed

Lattice parameters (Å, degrees): 6.897 6.897 6.897 146.37 146.37 48.30
Positions (direct):
Sr (0.000, 0.000, 0.000)
Nb (0.750, 0.250, 0.500)
P (0.366, 0.366, 0.000)
P (0.634, 0.634, 0.000)
Os (0.250, 0.750, 0.500)

Output
* DFT total energy: -37.2 eV/f.u.

---

Material: NaPuAuO5
Method: DFT, PBE
State: relaxed

Lattice parameters (Å, degrees): 5.882 5.882 8.050 105.09 105.09 97.19
Positions (direct):
Na (0.073, 0.927, 0.750)
Na (0.927, 0.073, 0.250)
Pu (0.000, 0.500, 0.000)
Pu (0.500, 0.000, 0.500)
Au (0.497, 0.503, 0.250)
Au (0.503, 0.497, 0.750)
O (0.186, 0.617, 0.869)
O (0.217, 0.260, 0.040)
O (0.235, 0.765, 0.250)
O (0.260, 0.217, 0.540)
O (0.383, 0.814, 0.631)
O (0.617, 0.186, 0.369)
O (0.740, 0.783, 0.460)
O (0.765, 0.235, 0.750)
O (0.783, 0.740, 0.960)
O (0.814, 0.383, 0.131)

Output
* energy relative to the elements, uncorrected: -1.54 eV/atom
* DFT total energy: -56.1 eV/f.u.

---

Material: YZn2Sb2
Method: DFT, PBE
State: relaxed

Lattice parameters (Å, degrees): 7.929 7.929 3.766 90.00 90.00 90.00
Positions (direct):
Y (0.000, 0.000, 0.000)
Y (0.500, 0.500, 0.000)
Zn (0.154, 0.346, 0.500)
Zn (0.346, 0.846, 0.500)
Zn (0.654, 0.154, 0.500)
Zn (0.846, 0.654, 0.500)
Sb (0.145, 0.645, 0.000)
Sb (0.355, 0.145, 0.000)
Sb (0.645, 0.855, 0.000)
Sb (0.855, 0.355, 0.000)

Output
* energy relative to the elements, uncorrected: -0.15 eV/atom
* DFT total energy: -18.0 eV/f.u.

---

Material: K2UFeS5
Method: DFT, PBE
State: relaxed

Lattice parameters (Å, degrees): 9.384 9.384 13.355 90.00 90.00 155.16
Positions (direct):
K (0.116, 0.884, 0.500)
K (0.120, 0.880, 0.147)
K (0.880, 0.120, 0.647)
K (0.884, 0.116, 0.000)
U (0.200, 0.800, 0.838)
U (0.800, 0.200, 0.338)
Fe (0.430, 0.570, 0.249)
Fe (0.570, 0.430, 0.749)
S (0.058, 0.942, 0.834)
S (0.301, 0.699, 0.464)
S (0.306, 0.694, 0.208)
S (0.334, 0.666, 0.826)
S (0.489, 0.511, 0.112)
S (0.511, 0.489, 0.612)
S (0.666, 0.334, 0.326)
S (0.694, 0.306, 0.708)
S (0.699, 0.301, 0.964)
S (0.942, 0.058, 0.334)

Output
* energy relative to the elements, uncorrected: -1.04 eV/atom
* DFT total energy: -51.9 eV/f.u.

---

Material: Ti4Pt2C
Method: DFT, PBE
State: relaxed

Lattice parameters (Å, degrees): 6.991 9.852 3.089 90.00 90.00 90.00
Positions (direct):
Ti (0.143, 0.189, 0.000)
Ti (0.181, 0.935, 0.500)
Ti (0.319, 0.435, 0.500)
Ti (0.357, 0.689, 0.000)
Ti (0.643, 0.311, 0.000)
Ti (0.681, 0.565, 0.500)
Ti (0.819, 0.065, 0.500)
Ti (0.857, 0.811, 0.000)
Pt (0.053, 0.637, 0.500)
Pt (0.447, 0.137, 0.500)
Pt (0.553, 0.863, 0.500)
Pt (0.947, 0.363, 0.500)
C (0.000, 0.000, 0.000)
C (0.500, 0.500, 0.000)

Output
* DFT total energy: -57.9 eV/f.u.
* relative energy among the computed polymorphs: 0 meV per atom

---

Material: Ag2Br
Method: DFT, PBE
State: relaxed

Lattice parameters (Å, degrees): 6.079 6.079 6.079 147.54 147.54 46.56
Positions (direct):
Ag (0.175, 0.175, 0.000)
Ag (0.825, 0.825, 0.000)
Br (0.500, 0.500, 0.000)

Output
* energy relative to the elements, uncorrected: 0.07 eV/atom
* DFT total energy: -7.2 eV/f.u.
* relative energy among the computed polymorphs: 234 meV per atom

---

Material: La2NbCd
Method: DFT, PBE
State: relaxed

Lattice parameters (Å, degrees): 6.762 6.762 6.762 102.67 102.67 124.15
Positions (direct):
La (0.096, 0.625, 0.971)
La (0.375, 0.346, 0.471)
La (0.654, 0.125, 0.029)
La (0.875, 0.904, 0.529)
Nb (0.000, 0.000, 0.000)
Nb (0.750, 0.250, 0.500)
Cd (0.250, 0.750, 0.500)
Cd (0.500, 0.500, 0.000)

Output
* DFT total energy: -19.0 eV/f.u.

---

Material: AcSn2Ge
Method: DFT, PBE
State: relaxed

Lattice parameters (Å, degrees): 6.217 6.217 6.217 47.52 47.52 47.52
Positions (direct):
Ac (0.000, 0.000, 0.000)
Sn (0.215, 0.215, 0.215)
Sn (0.785, 0.785, 0.785)
Ge (0.500, 0.500, 0.500)

Output
* DFT total energy: -17.8 eV/f.u.
* relative energy among the computed polymorphs: 160 meV per atom

---

Material: NpTiMn2
Method: DFT, PBE
State: relaxed

Lattice parameters (Å, degrees): 4.452 4.452 3.038 90.00 90.00 90.00
Positions (direct):
Np (0.000, 0.000, 0.000)
Ti (0.500, 0.500, 0.000)
Mn (0.000, 0.500, 0.500)
Mn (0.500, 0.000, 0.500)

Output
* DFT total energy: -39.0 eV/f.u.
* relative energy among the computed polymorphs: 0 meV per atom

---

Material: Gd2HgAu
Method: DFT, PBE
State: relaxed

Lattice parameters (Å, degrees): 3.678 3.678 7.443 90.00 90.00 90.00
Positions (direct):
Gd (0.000, 0.000, 0.238)
Gd (0.000, 0.000, 0.762)
Hg (0.500, 0.500, 0.500)
Au (0.500, 0.500, 0.000)

Output
* DFT total energy: -34.4 eV/f.u.
* relative energy among the computed polymorphs: 0 meV per atom

---

Material: CaZnInAu3
Method: DFT, PBE
State: relaxed

Lattice parameters (Å, degrees): 6.796 6.796 7.899 90.00 90.00 129.76
Positions (direct):
Ca (0.170, 0.830, 0.750)
Ca (0.830, 0.170, 0.250)
Zn (0.422, 0.578, 0.750)
Zn (0.578, 0.422, 0.250)
In (0.135, 0.865, 0.250)
In (0.865, 0.135, 0.750)
Au (0.244, 0.244, 0.000)
Au (0.244, 0.244, 0.500)
Au (0.355, 0.645, 0.250)
Au (0.645, 0.355, 0.750)
Au (0.756, 0.756, 0.000)
Au (0.756, 0.756, 0.500)

Output
* DFT total energy: -17.8 eV/f.u.

---

Material: SrIn2Cu2
Method: DFT, PBE
State: relaxed

Lattice parameters (Å, degrees): 6.279 6.279 6.279 136.00 136.00 63.97
Positions (direct):
Sr (0.000, 0.000, 0.000)
In (0.362, 0.362, 0.000)
In (0.638, 0.638, 0.000)
Cu (0.250, 0.750, 0.500)
Cu (0.750, 0.250, 0.500)

Output
* DFT total energy: -16.2 eV/f.u.

---

Material: Tb2Dy5ThSc
Method: DFT, PBE
State: relaxed

Lattice parameters (Å, degrees): 11.221 11.221 9.430 90.00 90.00 150.88
Positions (direct):
Tb (0.115, 0.885, 0.500)
Tb (0.133, 0.867, 0.889)
Tb (0.867, 0.133, 0.389)
Tb (0.885, 0.115, 0.000)
Dy (0.013, 0.987, 0.192)
Dy (0.269, 0.731, 0.506)
Dy (0.304, 0.696, 0.899)
Dy (0.395, 0.605, 0.225)
Dy (0.471, 0.529, 0.927)
Dy (0.529, 0.471, 0.427)
Dy (0.605, 0.395, 0.725)
Dy (0.696, 0.304, 0.399)
Dy (0.731, 0.269, 0.006)
Dy (0.987, 0.013, 0.692)
Th (0.401, 0.599, 0.607)
Th (0.599, 0.401, 0.107)
Sc (0.190, 0.810, 0.194)
Sc (0.810, 0.190, 0.694)

Output
* DFT total energy: -44.5 eV/f.u.

---

Material: Pm2CoP4Ir3
Method: DFT, PBE
State: relaxed

Lattice parameters (Å, degrees): 4.167 4.167 9.448 90.00 90.00 90.00
Positions (direct):
Pm (0.000, 0.500, 0.246)
Pm (0.500, 0.000, 0.754)
Co (0.000, 0.000, 0.500)
P (0.000, 0.000, 0.000)
P (0.000, 0.500, 0.630)
P (0.500, 0.000, 0.370)
P (0.500, 0.500, 0.000)
Ir (0.000, 0.500, 0.885)
Ir (0.500, 0.000, 0.115)
Ir (0.500, 0.500, 0.500)

Output
* DFT total energy: -74.5 eV/f.u.

---

Material: Cs2ZnSnBr6
Method: DFT, PBE
State: relaxed

Lattice parameters (Å, degrees): 7.948 7.948 7.948 60.00 60.00 60.00
Positions (direct):
Cs (0.250, 0.250, 0.250)
Cs (0.750, 0.750, 0.750)
Zn (0.000, 0.000, 0.000)
Sn (0.500, 0.500, 0.500)
Br (0.237, 0.237, 0.763)
Br (0.237, 0.763, 0.237)
Br (0.237, 0.763, 0.763)
Br (0.763, 0.237, 0.237)
Br (0.763, 0.237, 0.763)
Br (0.763, 0.763, 0.237)

Output
* energy relative to the elements, uncorrected: -1.20 eV/atom
* DFT total energy: -29.0 eV/f.u.

---

Material: CsZnIn
Method: DFT, PBE
State: relaxed

Lattice parameters (Å, degrees): 11.095 11.095 11.518 114.55 114.55 23.58
Positions (direct):
Cs (0.052, 0.052, 0.354)
Cs (0.160, 0.160, 0.058)
Cs (0.840, 0.840, 0.942)
Cs (0.948, 0.948, 0.646)
Zn (0.176, 0.176, 0.698)
Zn (0.302, 0.302, 0.389)
Zn (0.698, 0.698, 0.611)
Zn (0.824, 0.824, 0.302)
In (0.284, 0.284, 0.611)
In (0.385, 0.385, 0.256)
In (0.615, 0.615, 0.744)
In (0.716, 0.716, 0.389)

Output
* DFT total energy: -5.0 eV/f.u.
* relative energy among the computed polymorphs: 0 meV per atom

---

Material: Tm2Zn7
Method: DFT, PBE
State: relaxed

Lattice parameters (Å, degrees): 12.927 12.927 12.927 24.07 24.07 24.07
Positions (direct):
Tm (0.052, 0.052, 0.052)
Tm (0.149, 0.149, 0.149)
Tm (0.851, 0.851, 0.851)
Tm (0.948, 0.948, 0.948)
Zn (0.000, 0.500, 0.500)
Zn (0.105, 0.613, 0.613)
Zn (0.278, 0.278, 0.278)
Zn (0.387, 0.387, 0.895)
Zn (0.387, 0.895, 0.387)
Zn (0.389, 0.389, 0.389)
Zn (0.500, 0.000, 0.500)
Zn (0.500, 0.500, 0.000)
Zn (0.500, 0.500, 0.500)
Zn (0.611, 0.611, 0.611)
Zn (0.613, 0.105, 0.613)
Zn (0.613, 0.613, 0.105)
Zn (0.722, 0.722, 0.722)
Zn (0.895, 0.387, 0.387)

Output
* DFT total energy: -20.4 eV/f.u.